[1]
A geometry-optimized HfP2Ru structure. Source: Alexandria via LeMat-Bulk, functional PBE-GGA.

Unit cell a=4.378 b=4.378 c=4.378 alpha=60.00 beta=60.00 gamma=60.00
Sites, in units of the cell vectors:
Hf 0.000 0.000 0.000
P 0.250 0.250 0.250
P 0.750 0.750 0.750
Ru 0.500 0.500 0.500

**E above lowest polymorph**: 247 meV/atom
**Energy**: -31.94 eV per cell
**Formation enthalpy at 0 K**: -0.47 eV per atom
**Total magnetic moment**: 0.0 μB/f.u.


[2]
A geometry-optimized HfP2Ru structure. Source: Alexandria via LeMat-Bulk, functional PBE-GGA.

Unit cell a=7.419 b=7.419 c=7.419 alpha=141.22 beta=141.22 gamma=56.01
Sites, in units of the cell vectors:
Hf 0.000 0.000 0.000
Hf 0.750 0.250 0.500
P 0.177 0.625 0.052
P 0.375 0.427 0.552
P 0.573 0.125 0.948
P 0.875 0.823 0.448
Ru 0.250 0.750 0.500
Ru 0.500 0.500 0.000

**E above lowest polymorph**: 365 meV/atom
**Energy**: -62.93 eV per cell
**Formation enthalpy at 0 K**: -0.35 eV per atom
**Total magnetic moment**: 0.0 μB/f.u.